(1)
TlCuIr2: optimized geometry, GGA-PBE.

Unit cell a=2.8546 b=4.5746 c=4.9712 alpha=90.00 beta=92.21 gamma=90.00
Last column: nearest neighbours and their distance in Å.
Space group P2/m (No. 10)
Symmetry-distinct sites (fractional):
Tl  0.0000  0.0000  0.0000  4 Ir 2.79, 4 Cu 2.82-2.91, 2 Tl 2.85
Cu  0.5000  0.0000  0.5000  4 Ir 2.64, 4 Tl 2.82-2.91, 2 Cu 2.85
Ir  0.2653  0.5000  0.7241  2 Cu 2.64, 4 Ir 2.64-2.85, 2 Tl 2.79

- calculated total energy (eV per atom) = -5.62
- polymorph energy (0 for the lowest one) (meV per atom) = 65.4
- formation enthalpy at 0 K (eV per atom) = 0.427

***

(2)
NaGaAg2: optimized geometry, GGA-PBE.

Unit cell a=4.4506 b=4.4506 c=3.8463 alpha=90.00 beta=90.00 gamma=90.00
Last column: nearest neighbours and their distance in Å.
Space group P4/mmm (No. 123)
Symmetry-distinct sites (fractional):
Na  0.0000  0.0000  0.0000  8 Ag 2.94, 4 Ga 3.15
Ga  0.5000  0.5000  0.0000  8 Ag 2.94, 4 Na 3.15
Ag  0.0000  0.5000  0.5000  4 Na 2.94, 4 Ga 2.94, 4 Ag 3.15

- calculated total energy (eV per atom) = -2.51
- formation enthalpy at 0 K (eV per atom) = 0.005

***

(3)
Ba2VRu2: optimized geometry, GGA-PBE.

Unit cell a=6.4959 b=6.4959 c=5.5982 alpha=90.00 beta=90.00 gamma=90.00
Last column: nearest neighbours and their distance in Å.
Space group P4/mbm (No. 127)
Symmetry-distinct sites (fractional):
Ba  0.1812  0.3188  0.0000  6 Ru 3.25-3.49, 5 Ba 3.33-3.37
V  0.0000  0.0000  0.5000  4 Ru 2.52
Ru  0.1380  0.6380  0.5000  2 V 2.52, 1 Ru 2.54

- calculated total energy (eV per atom) = -5.75
- polymorph energy (0 for the lowest one) (meV per atom) = 0.0
- formation enthalpy at 0 K (eV per atom) = 0.550

***

(4)
BiSbH3: optimized geometry, GGA-PBE.

Unit cell a=4.2348 b=4.2348 c=4.2348 alpha=90.00 beta=90.00 gamma=90.00
Last column: nearest neighbours and their distance in Å.
Space group Pm-3m (No. 221)
Symmetry-distinct sites (fractional):
Bi  0.0000  0.0000  0.0000  6 H 2.12
Sb  0.5000  0.5000  0.5000  12 H 2.99
H  0.0000  0.0000  0.5000  2 Bi 2.12

- calculated total energy (eV per atom) = -2.81
- polymorph energy (0 for the lowest one) (meV per atom) = 107.3

***

(5)
NpBeRuRh: optimized geometry, GGA-PBE.

Unit cell a=6.2930 b=6.2930 c=6.2930 alpha=90.00 beta=90.00 gamma=90.00
Last column: nearest neighbours and their distance in Å.
Space group F-43m (No. 216)
Symmetry-distinct sites (fractional):
Np  0.0000  0.0000  0.0000  4 Ru 2.72, 4 Rh 2.72
Be  0.0000  0.0000  0.5000  4 Ru 2.72, 4 Rh 2.72
Ru  0.2500  0.2500  0.2500  4 Be 2.72, 4 Np 2.72
Rh  0.2500  0.2500  0.7500  4 Be 2.72, 4 Np 2.72

- calculated total energy (eV per atom) = -8.48
- formation enthalpy at 0 K (eV per atom) = -0.158

***

(6)
LaZnMo: optimized geometry, GGA-PBE.

Unit cell a=2.9795 b=2.9795 c=7.9282 alpha=90.00 beta=90.00 gamma=120.00
Last column: nearest neighbours and their distance in Å.
Space group P3m1 (No. 156)
Symmetry-distinct sites (fractional):
La  0.0000  0.0000  0.0000  6 La 2.98
Zn  0.3333  0.6667  0.6371  3 Mo 2.78, 6 Zn 2.98
Mo  0.6667  0.3333  0.3609  3 Zn 2.78, 6 Mo 2.98

- calculated total energy (eV per atom) = -5.14
- polymorph energy (0 for the lowest one) (meV per atom) = 232.2
- formation enthalpy at 0 K (eV per atom) = 0.537

***

(7)
SrMnBi3: optimized geometry, GGA-PBE.

Unit cell a=5.3066 b=5.3066 c=5.3066 alpha=90.00 beta=90.00 gamma=90.00
Last column: nearest neighbours and their distance in Å.
Space group Pm-3m (No. 221)
Symmetry-distinct sites (fractional):
Sr  0.0000  0.0000  0.0000  12 Bi 3.75
Mn  0.5000  0.5000  0.5000  6 Bi 2.65
Bi  0.0000  0.5000  0.5000  2 Mn 2.65

- calculated total energy (eV per atom) = -4.36
- polymorph energy (0 for the lowest one) (meV per atom) = 0.0
- formation enthalpy at 0 K (eV per atom) = 0.135

***

(8)
Zn2GaSn2: optimized geometry, GGA-PBE.

Unit cell a=4.4365 b=4.4365 c=12.1819 alpha=90.00 beta=90.00 gamma=90.00
Last column: nearest neighbours and their distance in Å.
Space group I4/mmm (No. 139)
Symmetry-distinct sites (fractional):
Zn  0.0000  0.5000  0.2500  4 Sn 2.75
Ga  0.0000  0.0000  0.0000  8 Sn 3.44, 8 Zn 3.77
Sn  0.0000  0.0000  0.3839  4 Zn 2.75, 1 Sn 2.83

- calculated total energy (eV per atom) = -2.55
- polymorph energy (0 for the lowest one) (meV per atom) = 71.5
- formation enthalpy at 0 K (eV per atom) = 0.166